[1]
K2ReW (PBE, optimized geometry); crystal system = orthorhombic; DFT total energy = -5.618 eV per atom; ΔH_f (0 K) = 1.281 eV per atom; density = 5956 kg/m³; offset from the most stable computed form = 0.375 eV per atom; space-group type = Imm2, No. 44; spin magnetization = 0.3 μB/f.u.
1.0
-4.541 -4.878 -1.908
0.310 -6.196 3.094
-1.106 6.843 0.105
W K Re
1 2 1
Direct
0.311 0.811 0.500 W
0.728 0.228 0.500 K
0.014 0.014 0.000 K
0.447 0.447 0.000 Re

***

[2]
KReW2 (PBE, optimized geometry); crystal system = tetragonal; DFT total energy = -8.875 eV per atom; ΔH_f (0 K) = 0.988 eV per atom; density = 12253 kg/m³; offset from the most stable computed form = 0.212 eV per atom; space-group type = P4/mmm, No. 123; spin magnetization = 0.0 μB/f.u.
1.0
2.807 0.000 0.000
0.000 2.807 0.000
0.000 0.000 10.203
W K Re
2 1 1
Direct
0.000 0.000 0.562 W
0.000 0.000 0.938 W
0.500 0.500 0.250 K
0.500 0.500 0.750 Re

***

The highest offset from the most stable computed form belongs to which entry?
K2ReW

***

Among the records above, which one has the lowest DFT total energy?
KReW2

***

Which formula does entry 1 have?
K2ReW

***

Number 1 is which compound?
K2ReW